# 1
## NaLiTcI6 (PBE-GGA)

Data for crystalline NaLiTcI6 at its relaxed geometry.

Geometry as POSCAR:
```
NaLiTcI6
1.0
-2.7154 6.8269 0.7718
0.6665 -4.3987 5.8977
12.8375 4.8604 2.1742
I Li Na Tc
12 2 2 2
Cartesian
0.7394 3.1183 0.6988 I
2.4357 5.7060 5.2468 I
2.9366 6.0999 1.4080 I
-0.6871 5.7966 3.1347 I
3.9021 2.7643 3.1640 I
6.8865 4.5242 5.6796 I
7.8520 1.1886 7.4356 I
8.3530 1.5826 3.5969 I
10.0492 4.1703 8.1448 I
0.4010 2.3156 4.4913 I
11.4758 1.4920 5.7090 I
10.3876 4.9729 4.3523 I
2.7486 0.5582 4.7326 Li
8.0400 6.7303 4.1111 Li
6.4188 2.4302 1.0871 Na
0.0000 0.0000 0.0000 Na
1.6213 4.3001 3.0240 Tc
9.1674 2.9884 5.8197 Tc
```

Results
VASP energy   -0.11390 hartree per atom
Total magnetic moment   5.9 μB per cell
Formation energy (no corrections)   -555 meV/atom
Mass density   4.5 g/cm³

# 2
## NaLiTe2I (PBE-GGA)

Data for crystalline NaLiTe2I at its relaxed geometry.

Geometry as POSCAR:
```
NaLiTe2I
1.0
-3.7013 -1.5173 3.8725
-2.7711 -2.9661 -3.8107
3.4457 -4.9557 1.3516
Li Na Te I
1 1 2 1
Cartesian
-1.5133 -4.7195 0.7067 Li
0.0000 0.0000 0.0000 Na
-1.8506 -0.7587 1.9363 Te
-1.3856 -1.4830 -1.9053 Te
1.7229 -2.4778 0.6758 I
```

Results
Polymorph energy (0 for the lowest one)   368 meV per atom
VASP energy   -0.08069 hartree per atom
Total magnetic moment   0.0 μB per cell
Formation energy (no corrections)   18 meV/atom
Mass density   3.6 g/cm³

# 3
## NaLiTe2I (PBE-GGA)

Data for crystalline NaLiTe2I at its relaxed geometry.

Geometry as POSCAR:
```
NaLiTe2I
1.0
-3.6466 -3.2624 0.1723
1.1552 -1.5291 -4.5054
4.7966 -5.2033 2.9959
Li Na Te I
1 1 2 1
Cartesian
0.0000 0.0000 0.0000 Li
1.1526 -4.9974 -0.6686 Na
0.5776 -0.7646 -2.2527 Te
-1.8233 -1.6312 0.0861 Te
2.3983 -2.6017 1.4979 I
```

Results
Polymorph energy (0 for the lowest one)   0 meV per atom
VASP energy   -0.09421 hartree per atom
Total magnetic moment   0.0 μB per cell
Formation energy (no corrections)   -350 meV/atom
Mass density   3.7 g/cm³

# 4
## NaLiThI6 (PBE-GGA)

Data for crystalline NaLiThI6 at its relaxed geometry.

Geometry as POSCAR:
```
NaLiThI6
1.0
7.7354 0.0000 0.0000
-3.8677 6.6990 0.0000
0.0000 0.0000 14.5745
I Th Li Na
12 2 2 2
Cartesian
-1.3357 2.3622 1.8898 I
2.5320 4.3368 9.1771 I
5.0218 0.0244 12.6847 I
1.1541 6.6747 5.3974 I
-1.1541 6.6747 1.8898 I
1.3357 2.3622 5.3974 I
5.2034 4.3368 12.6847 I
2.7136 0.0244 9.1771 I
1.3779 2.3378 12.6847 I
2.4898 4.3612 1.8898 I
6.3575 2.3378 9.1771 I
-2.4898 4.3612 5.3974 I
3.8677 2.2330 3.6436 Th
0.0000 4.4660 10.9309 Th
3.8677 2.2330 10.9309 Li
0.0000 4.4660 3.6436 Li
0.0000 0.0000 7.2873 Na
0.0000 0.0000 0.0000 Na
```

Results
VASP energy   -0.12617 hartree per atom
Total magnetic moment   0.0 μB per cell
Formation energy (no corrections)   -1216 meV/atom
Mass density   4.5 g/cm³

# 5
## NaLiTl2I4 (PBE-GGA)

Data for crystalline NaLiTl2I4 at its relaxed geometry.

Geometry as POSCAR:
```
NaLiTl2I4
1.0
4.6609 0.0000 0.0000
0.0000 8.3968 -0.2934
0.0000 2.8359 7.5650
Li I Tl Na
1 4 2 1
Cartesian
2.3305 7.0343 7.4183 Li
4.6609 3.0646 1.6466 I
0.0001 8.1681 5.6250 I
2.3305 4.5091 5.5831 I
2.3305 6.7236 1.6886 I
2.3305 1.4179 3.7825 Tl
0.0000 2.8359 7.5650 Tl
0.0001 5.6163 3.6359 Na
```

Results
VASP energy   -0.09884 hartree per atom
Total magnetic moment   0.0 μB per cell
Formation energy (no corrections)   -919 meV/atom
Mass density   5.2 g/cm³

# 6
## Na3Li2TlI6 (PBE-GGA)

Data for crystalline Na3Li2TlI6 at its relaxed geometry.

Geometry as POSCAR:
```
Na3Li2TlI6
1.0
-4.2556 -1.2166 -0.8258
-1.4600 -1.0803 9.1154
-0.3722 10.5595 -1.3640
I Tl Li Na
6 1 2 3
Cartesian
-2.9252 5.5026 6.9685 I
-2.2925 6.0886 2.8445 I
-4.9502 8.7975 0.2755 I
-1.1375 -0.5348 6.6501 I
-3.1625 2.7601 -0.0428 I
-3.7953 2.1741 4.0812 I
-2.1278 -0.6083 -0.4129 Tl
-4.6294 4.8745 4.4014 Li
-1.4584 3.3882 2.5242 Li
-4.0275 5.8099 -0.0785 Na
-2.8578 -1.1484 4.1448 Na
-2.0603 2.4528 7.0041 Na
```

Results
VASP energy   -0.10019 hartree per atom
Total magnetic moment   0.0 μB per cell
Formation energy (no corrections)   -1105 meV/atom
Mass density   4.1 g/cm³

# 7
## NaLi2TlI4 (PBE-GGA)

Data for crystalline NaLi2TlI4 at its relaxed geometry.

Geometry as POSCAR:
```
NaLi2TlI4
1.0
-3.3269 -6.0803 -0.4343
4.9657 -6.4970 -2.6032
3.8608 -6.3815 4.2446
Tl I Li Na
1 4 2 1
Cartesian
0.0000 0.0000 0.0000 Tl
3.5538 -11.8661 2.3858 I
1.4388 -7.0397 1.9631 I
5.5871 -9.1296 -0.5567 I
0.4193 -9.8822 -1.3779 I
4.1242 -14.2188 0.9053 Li
1.3753 -4.7399 0.3019 Li
2.7498 -9.4794 0.6036 Na
```

Results
VASP energy   -0.10103 hartree per atom
Total magnetic moment   0.0 μB per cell
Formation energy (no corrections)   -1035 meV/atom
Mass density   3.7 g/cm³

# 8
## Na2LiTlI4 (PBE-GGA)

Data for crystalline Na2LiTlI4 at its relaxed geometry.

Geometry as POSCAR:
```
Na2LiTlI4
1.0
-4.0169 -0.4488 2.2466
-1.6580 -0.9233 -7.9083
2.5308 -15.9734 1.3342
I Na Tl Li
8 4 2 2
Cartesian
-0.9760 -6.7048 -3.0845 I
0.0000 0.0000 0.0000 I
-1.3516 -12.9973 -5.0131 I
-1.5015 -14.8478 -0.8916 I
-1.7925 -4.3482 0.6856 I
1.2654 -7.9867 0.6671 I
-1.6426 -2.4977 -3.4359 I
-2.1681 -10.6407 -1.2430 I
-1.8051 -7.6550 0.0025 Na
-1.3390 -9.6905 -4.3300 Na
-2.8022 -1.3614 -0.5232 Na
-0.3419 -15.9841 -3.8043 Na
-4.1327 -5.0807 -3.6450 Tl
0.9886 -12.2648 -0.6824 Tl
-0.5033 -4.3489 -1.7686 Li
-2.6408 -12.9965 -2.5588 Li
```

Results
VASP energy   -0.09987 hartree per atom
Total magnetic moment   0.0 μB per cell
Formation energy (no corrections)   -1078 meV/atom
Mass density   4.3 g/cm³

# 9
## NaLi2UI8 (PBE-GGA)

Data for crystalline NaLi2UI8 at its relaxed geometry.

Geometry as POSCAR:
```
NaLi2UI8
1.0
-4.2253 -6.6456 -3.4556
5.1628 3.8751 -5.6821
4.8626 -2.9766 6.4383
Li I Na U
2 8 1 1
Cartesian
0.5531 -5.5037 -0.7931 Li
0.4688 -1.3852 -4.5689 Li
-1.4059 -6.1758 -2.5426 I
2.8382 -5.7954 -2.2224 I
0.7852 -3.7378 -5.9682 I
3.2952 -3.9365 3.6767 I
5.4143 -3.1891 -0.6227 I
0.5249 -7.0585 1.4277 I
0.2551 -2.9851 0.1650 I
2.1057 -0.6307 -2.4846 I
5.2471 -0.2434 -1.9063 Na
0.0000 0.0000 0.0000 U
```

Results
VASP energy   -0.11907 hartree per atom
Total magnetic moment   1.0 μB per cell
Formation energy (no corrections)   -837 meV/atom
Mass density   4.4 g/cm³

# 10
## Na2LiYI6 (PBE-GGA)

Data for crystalline Na2LiYI6 at its relaxed geometry.

Geometry as POSCAR:
```
Na2LiYI6
1.0
-5.2390 5.4192 -2.3511
-0.8541 1.5931 -7.6854
-6.9682 -2.6548 -3.8275
I Na Li Y
6 2 1 1
Cartesian
-8.1931 1.5090 -9.3946 I
-5.0499 2.8054 -3.9608 I
-9.0771 1.9856 -5.2719 I
-7.2801 5.3833 -7.7149 I
-3.7072 1.9441 -8.7736 I
-6.1309 -0.8115 -6.5002 I
-6.2350 2.4819 -6.9051 Na
-6.7524 -2.4363 -3.8066 Na
-8.7962 4.2741 -10.3010 Li
-2.1286 2.2388 -3.3538 Y
```

Results
VASP energy   -0.12180 hartree per atom
Total magnetic moment   0.0 μB per cell
Formation energy (no corrections)   -1283 meV/atom
Mass density   3.9 g/cm³

# 11
## NaLi2ZnI6 (PBE-GGA)

Data for crystalline NaLi2ZnI6 at its relaxed geometry.

Geometry as POSCAR:
```
NaLi2ZnI6
1.0
6.8797 0.3517 0.3650
2.6592 11.4132 -0.2199
2.6592 -0.6428 11.3972
Zn I Li Na
2 12 4 2
Cartesian
7.8190 9.4884 2.1626 Zn
4.3792 1.6336 9.3796 Zn
2.6580 2.3427 0.5014 I
6.0979 0.5900 2.5422 I
9.5401 8.7794 11.0409 I
4.9663 6.8169 7.1909 I
9.3362 3.7533 9.7625 I
2.8620 7.3688 1.7797 I
3.7920 4.0129 4.2810 I
5.8964 9.4409 3.9301 I
7.2318 4.3052 4.3513 I
6.1003 10.5321 9.0000 I
6.3018 1.6812 7.6122 I
8.4062 7.1091 7.2612 I
2.2328 4.6437 2.0587 Li
5.6726 2.0611 4.8993 Li
6.5255 9.0610 6.6429 Li
9.9654 6.4784 9.4835 Li
7.8190 0.8923 10.4459 Na
4.3792 10.2298 1.0963 Na
```

Results
VASP energy   -0.08810 hartree per atom
Total magnetic moment   0.0 μB per cell
Formation energy (no corrections)   -825 meV/atom
Mass density   3.3 g/cm³

# 12
## NaLiZrI6 (PBE-GGA)

Data for crystalline NaLiZrI6 at its relaxed geometry.

Geometry as POSCAR:
```
NaLiZrI6
1.0
-4.1525 5.0226 3.7811
-1.8267 -1.8348 -7.0756
-8.2253 -10.4362 4.8298
I Zr Li Na
12 2 2 2
Cartesian
-5.9122 -7.2152 0.5261 I
-4.9432 0.6992 -1.4163 I
-5.8431 2.9372 1.8871 I
-8.2923 -0.0331 1.0092 I
-8.4748 -6.6473 -2.6110 I
-11.5851 -7.6685 -0.4029 I
-2.6194 0.4201 1.9382 I
-5.1737 -2.6557 0.6534 I
-5.7297 -0.6010 4.1463 I
-9.0308 -4.5926 0.8818 I
-8.3614 -10.1856 -0.3518 I
-9.2613 -7.9476 2.9516 I
-8.7710 -7.3762 0.1656 Zr
-5.4336 0.1278 1.3697 Zr
-4.6583 -2.1580 -2.2492 Li
-9.5462 -5.0903 3.7845 Li
0.0000 0.0000 0.0000 Na
-4.1127 -5.2181 2.4149 Na
```

Results
VASP energy   -0.12392 hartree per atom
Total magnetic moment   0.0 μB per cell
Formation energy (no corrections)   -1030 meV/atom
Mass density   4.2 g/cm³